Material: Nd2CoCu3Ni12
Method: DFT, PBE-GGA
State: optimized geometry

Output
- DOS(E_F) (states/eV per cell) = 23.11
- E (eV per atom) = -5.21
- volume (Å³/cell) = 263.4
- density (Mg/m³) = 7.833
- SG = R-3m, No. 166

Unit cell a=9.149 b=9.149 c=9.149 alpha=38.23 beta=38.23 gamma=38.23
Fractional positions:
Nd: 0.154 0.154 0.154
Nd: 0.846 0.846 0.846
Co: 0.500 0.500 0.500
Cu: 0.000 0.500 0.500
Cu: 0.500 0.000 0.500
Cu: 0.500 0.500 0.000
Ni: 0.079 0.079 0.688
Ni: 0.079 0.688 0.079
Ni: 0.152 0.568 0.568
Ni: 0.312 0.921 0.921
Ni: 0.432 0.432 0.848
Ni: 0.432 0.848 0.432
Ni: 0.568 0.152 0.568
Ni: 0.568 0.568 0.152
Ni: 0.688 0.079 0.079
Ni: 0.848 0.432 0.432
Ni: 0.921 0.312 0.921
Ni: 0.921 0.921 0.312